{"formula": "LaInHg2", "functional": "SCAN", "state": "PBEsol geometry", "spacegroup": "P4/mmm", "volume_a3_per_cell": 101.5, "dft_energy_ev_per_atom": -53.724, "de_polymorph_mev_per_atom": 94, "lattice": [[4.767, 0.000, 0.000], [0.000, 4.767, 0.000], [0.000, 0.000, 4.468]], "species": ["La", "In", "Hg", "Hg"], "frac_coords": [[0.000, 0.000, 0.000], [0.500, 0.500, 0.000], [0.000, 0.500, 0.500], [0.500, 0.000, 0.500]]}